Entry 1:
HoRuPt after structural relaxation, computed with PBE.

a = 5.6579 Å, b = 5.6579 Å, c = 5.6739 Å
α = 78.92°, β = 132.89°, γ = 120.68°
Positions (direct):
Ho1 0.7500 0.3733 0.1232
Pt1 0.5000 0.5000 0.5000
Ho2 0.2500 0.6267 0.8768
Pt2 0.0000 0.0000 0.5000
Ru1 0.2508 0.9459 0.1967
Ru2 0.7492 0.0541 0.8033

Values from the calculation:
**Mass density**: 13.80 g cm⁻³
**Space-group type**: C2/m (12)
**Total magnetization**: 0.0 μB per formula unit
**Formation enthalpy at 0 K**: -0.42 eV per atom
**Uncorrected energy**: -7.06 eV per atom

---

Entry 2:
Ho8Ru2Pt after structural relaxation, computed with PBE.

a = 5.8837 Å, b = 7.5277 Å, c = 7.5277 Å
α = 112.79°, β = 100.37°, γ = 100.37°
Positions (direct):
Ho1 0.9878 0.7849 0.2170
Ho2 0.1762 0.3646 0.3646
Ru1 0.4864 0.3167 0.6956
Ho3 0.5803 0.0821 0.3447
Pt1 0.1445 0.9987 0.9987
Ho4 0.3871 0.6656 0.9275
Ho5 0.9878 0.2170 0.7849
Ho6 0.7959 0.6366 0.6366
Ho7 0.3871 0.9275 0.6656
Ho8 0.5803 0.3447 0.0821
Ru2 0.4864 0.6956 0.3167

Values from the calculation:
**Mass density**: 9.81 g cm⁻³
**ΔE to the lowest computed polymorph**: 47 meV/atom
**Space-group type**: Cm (8)
**Total magnetization**: 0.0 μB per formula unit
**Formation enthalpy at 0 K**: -0.39 eV per atom
**Uncorrected energy**: -5.95 eV per atom

---

Entry 3:
Ho6RuPt3 after structural relaxation, computed with PBE.

a = 4.8194 Å, b = 8.1143 Å, c = 12.1489 Å
α = 90.00°, β = 90.00°, γ = 90.00°
Positions (direct):
Ho1 0.5000 0.1480 0.9067
Ho2 0.0000 0.9982 0.2587
Ho3 0.5000 0.8213 0.4256
Ho4 0.0000 0.6787 0.9256
Ho5 0.5000 0.4982 0.2412
Pt1 0.0000 0.3321 0.8322
Pt2 0.5000 0.8321 0.6678
Ho6 0.0000 0.3520 0.4067
Pt3 0.0000 0.6679 0.1678
Ho7 0.5000 0.1787 0.5744
Ho8 0.5000 0.8520 0.0933
Ho9 0.0000 0.3213 0.0744
Pt4 0.0000 0.0000 0.5000
Ho10 0.0000 0.0018 0.7413
Ho11 0.0000 0.6480 0.5933
Ru1 0.5000 0.5000 0.5000
Pt5 0.5000 0.5000 0.0000
Pt6 0.5000 0.1679 0.3322
Ho12 0.5000 0.5018 0.7588
Ru2 0.0000 0.0000 0.0000

Values from the calculation:
**Mass density**: 11.72 g cm⁻³
**Space-group type**: Pnnm (58)
**Total magnetization**: 0.0 μB per formula unit
**Formation enthalpy at 0 K**: -0.79 eV per atom
**Uncorrected energy**: -6.28 eV per atom

---

Entry 4:
Ho4Ru3Pt after structural relaxation, computed with PBE.

a = 4.8196 Å, b = 6.7873 Å, c = 9.6391 Å
α = 90.00°, β = 90.00°, γ = 90.00°
Positions (direct):
Pt1 0.0000 0.5000 0.0000
Ho1 0.5000 0.7548 0.0000
Pt2 0.0000 0.5000 0.5000
Ho2 0.9997 0.7548 0.2500
Ho3 0.0003 0.2452 0.7500
Ho4 0.5000 0.2452 0.5000
Ru1 0.5004 0.0000 0.7500
Ru2 0.5004 0.5000 0.7500
Ru3 0.0000 0.0000 0.5000
Ru4 0.4996 0.0000 0.2500
Ho5 0.0003 0.7548 0.7500
Ho6 0.5000 0.7548 0.5000
Ru5 0.4996 0.5000 0.2500
Ru6 0.0000 0.0000 0.0000
Ho7 0.9997 0.2452 0.2500
Ho8 0.5000 0.2452 0.0000

Values from the calculation:
**Mass density**: 12.20 g cm⁻³
**Space-group type**: P4/mmm (123)
**Total magnetization**: 0.0 μB per formula unit
**Formation enthalpy at 0 K**: -0.60 eV per atom
**Uncorrected energy**: -7.13 eV per atom

---

Entry 5:
Ho8RuPt2 after structural relaxation, computed with PBE.

a = 5.8799 Å, b = 7.5814 Å, c = 7.5814 Å
α = 113.44°, β = 100.50°, γ = 100.50°
Positions (direct):
Ho1 0.5806 0.0826 0.3347
Ho2 0.5806 0.3347 0.0826
Ru1 0.1294 0.0023 0.0023
Ho3 0.1691 0.3588 0.3588
Pt1 0.4915 0.3163 0.6953
Ho4 0.3814 0.9236 0.6713
Ho5 0.8139 0.6477 0.6477
Ho6 0.3814 0.6713 0.9236
Pt2 0.4915 0.6953 0.3163
Ho7 0.9902 0.7885 0.2128
Ho8 0.9902 0.2128 0.7885

Values from the calculation:
**Mass density**: 10.28 g cm⁻³
**ΔE to the lowest computed polymorph**: 88 meV/atom
**Space-group type**: Cm (8)
**Total magnetization**: 0.0 μB per formula unit
**Formation enthalpy at 0 K**: -0.51 eV per atom
**Uncorrected energy**: -5.78 eV per atom

---

Entry 6:
Ho7Ru2Pt2 after structural relaxation, computed with PBE.

a = 6.5855 Å, b = 6.9283 Å, c = 6.5855 Å
α = 95.66°, β = 107.72°, γ = 84.34°
Positions (direct):
Ru1 0.1805 0.5000 0.1805
Pt1 0.7136 0.0008 0.2864
Ho1 0.0256 0.7236 0.4751
Ho2 0.0000 0.0000 0.0000
Pt2 0.2864 0.9992 0.7136
Ru2 0.8195 0.5000 0.8195
Ho3 0.5231 0.7309 0.4769
Ho4 0.9744 0.2764 0.5249
Ho5 0.4769 0.2691 0.5231
Ho6 0.5249 0.7236 0.9744
Ho7 0.4751 0.2764 0.0256

Values from the calculation:
**Mass density**: 10.21 g cm⁻³
**Space-group type**: C2/m (12)
**Total magnetization**: 0.0 μB per formula unit
**Formation enthalpy at 0 K**: -0.43 eV per atom
**Uncorrected energy**: -6.13 eV per atom

---

Entry 7:
Ho3RuPt after structural relaxation, computed with PBE.

a = 4.1291 Å, b = 6.7781 Å, c = 8.6776 Å
α = 90.00°, β = 90.00°, γ = 90.00°
Positions (direct):
Pt1 0.2500 0.7500 0.8395
Ho1 0.2500 0.2500 0.9388
Pt2 0.7500 0.2500 0.1605
Ho2 0.2500 0.4898 0.3361
Ho3 0.2500 0.0102 0.3361
Ho4 0.7500 0.5102 0.6639
Ho5 0.7500 0.9898 0.6639
Ru1 0.2500 0.2500 0.6171
Ru2 0.7500 0.7500 0.3829
Ho6 0.7500 0.7500 0.0612

Values from the calculation:
**Mass density**: 10.82 g cm⁻³
**ΔE to the lowest computed polymorph**: 79 meV/atom
**Space-group type**: Pmmn (59)
**Total magnetization**: 0.0 μB per formula unit
**Formation enthalpy at 0 K**: -0.63 eV per atom
**Uncorrected energy**: -6.44 eV per atom

---

Entry 8:
Ho5Ru4Pt after structural relaxation, computed with PBE.

a = 3.4171 Å, b = 3.4171 Å, c = 16.8373 Å
α = 90.00°, β = 90.00°, γ = 90.00°
Positions (direct):
Ho1 0.5000 0.5000 0.3012
Ru1 0.0000 0.0000 0.5998
Ho2 0.5000 0.5000 0.1033
Ru2 0.0000 0.0000 0.1989
Ho3 0.5000 0.5000 0.5000
Ho4 0.5000 0.5000 0.8967
Ru3 0.0000 0.0000 0.8011
Ru4 0.0000 0.0000 0.4002
Ho5 0.5000 0.5000 0.6988
Pt1 0.0000 0.0000 0.0000

Values from the calculation:
**Mass density**: 12.03 g cm⁻³
**Space-group type**: P4/mmm (123)
**Total magnetization**: 0.0 μB per formula unit
**Formation enthalpy at 0 K**: -0.57 eV per atom
**Uncorrected energy**: -7.17 eV per atom